Entry 1:
{
  "formula": "ErGa6S8",
  "functional": "PBE-GGA",
  "state": "optimized geometry",
  "vol_a3_per_atom": 21.0,
  "raw_formation_energy_ev_per_atom": -0.53,
  "lattice_angstrom": [[5.001, 2.887, 3.635], [-5.001, 2.887, 3.635], [0.000, -5.775, 3.635]],
  "species": ["Er", "Ga", "Ga", "Ga", "Ga", "Ga", "Ga", "S", "S", "S", "S", "S", "S", "S", "S"],
  "fractional_positions": [[0.000, 0.000, 0.000], [0.259, 0.617, 0.324], [0.324, 0.259, 0.617], [0.383, 0.676, 0.741], [0.617, 0.324, 0.259], [0.676, 0.741, 0.383], [0.741, 0.383, 0.676], [0.070, 0.361, 0.801], [0.199, 0.930, 0.639], [0.265, 0.265, 0.265], [0.361, 0.801, 0.070], [0.639, 0.199, 0.930], [0.735, 0.735, 0.735], [0.801, 0.070, 0.361], [0.930, 0.639, 0.199]]
}

=====

Entry 2:
{
  "formula": "CoSn6Hg",
  "functional": "PBE-GGA",
  "state": "optimized geometry",
  "vol_a3_per_atom": 26.0,
  "formation_energy_ev_per_atom": 0.04,
  "lattice_angstrom": [[3.283, 1.895, 5.575], [-3.283, 1.895, 5.575], [0.000, -3.790, 5.575]],
  "species": ["Co", "Sn", "Sn", "Sn", "Sn", "Sn", "Sn", "Hg"],
  "fractional_positions": [[0.000, 0.000, 0.000], [0.022, 0.558, 0.179], [0.179, 0.022, 0.558], [0.442, 0.821, 0.978], [0.558, 0.179, 0.022], [0.821, 0.978, 0.442], [0.978, 0.442, 0.821], [0.500, 0.500, 0.500]]
}

=====

Entry 3:
{
  "formula": "Zn2FeGeB",
  "functional": "PBE-GGA",
  "state": "optimized geometry",
  "vol_a3_per_atom": 19.9,
  "formation_energy_ev_per_atom": 1.44,
  "lattice_angstrom": [[4.659, 0.000, 0.000], [0.000, 4.659, 0.000], [0.000, 0.000, 4.572]],
  "species": ["Zn", "Zn", "Fe", "Ge", "B"],
  "fractional_positions": [[0.000, 0.500, 0.000], [0.500, 0.000, 0.000], [0.000, 0.000, 0.500], [0.000, 0.000, 0.000], [0.500, 0.500, 0.500]]
}

=====

Entry 4:
{
  "formula": "HoErAu4",
  "functional": "PBE-GGA",
  "state": "optimized geometry",
  "vol_a3_per_atom": 20.9,
  "formation_energy_ev_per_atom": -0.87,
  "lattice_angstrom": [[2.638, -4.521, 0.000], [2.638, 4.521, 0.000], [-0.013, 0.000, 5.264]],
  "species": ["Ho", "Er", "Au", "Au", "Au", "Au"],
  "fractional_positions": [[0.000, 0.000, 0.000], [0.500, 0.500, 0.500], [0.165, 0.835, 0.500], [0.336, 0.664, 0.000], [0.664, 0.336, 0.000], [0.835, 0.165, 0.500]]
}

=====

Entry 5:
{
  "formula": "NaBeF4",
  "functional": "PBE-GGA",
  "state": "optimized geometry",
  "vol_a3_per_atom": 12.8,
  "raw_formation_energy_ev_per_atom": -2.48,
  "lattice_angstrom": [[-3.496, 3.496, 3.134], [3.496, -3.496, 3.134], [3.496, 3.496, -3.134]],
  "species": ["Na", "Na", "Be", "Be", "F", "F", "F", "F", "F", "F", "F", "F"],
  "fractional_positions": [[0.375, 0.625, 0.750], [0.625, 0.375, 0.250], [0.125, 0.875, 0.250], [0.875, 0.125, 0.750], [0.156, 0.727, 0.428], [0.201, 0.273, 0.928], [0.273, 0.201, 0.428], [0.273, 0.844, 0.072], [0.727, 0.156, 0.928], [0.727, 0.799, 0.572], [0.799, 0.727, 0.072], [0.844, 0.273, 0.572]]
}

=====

Entry 6:
{
  "formula": "Zn2As",
  "functional": "PBE-GGA",
  "state": "optimized geometry",
  "vol_a3_per_atom": 18.5,
  "formation_energy_ev_per_atom": 0.09,
  "lattice_angstrom": [[3.984, 0.000, 0.000], [-1.992, 3.451, 0.000], [0.000, 0.000, 4.044]],
  "species": ["Zn", "Zn", "As"],
  "fractional_positions": [[0.333, 0.667, 0.306], [0.667, 0.333, 0.694], [0.000, 0.000, 0.000]]
}

=====

What did the fourth record say?
{
  "formula": "HoErAu4",
  "functional": "PBE-GGA",
  "state": "optimized geometry",
  "vol_a3_per_atom": 20.9,
  "formation_energy_ev_per_atom": -0.87,
  "lattice_angstrom": [[2.638, -4.521, 0.000], [2.638, 4.521, 0.000], [-0.013, 0.000, 5.264]],
  "species": ["Ho", "Er", "Au", "Au", "Au", "Au"],
  "fractional_positions": [[0.000, 0.000, 0.000], [0.500, 0.500, 0.500], [0.165, 0.835, 0.500], [0.336, 0.664, 0.000], [0.664, 0.336, 0.000], [0.835, 0.165, 0.500]]
}